Below is a relaxed structure of Y2ReS2, with properties calculated at the PBE level.

For the total magnetic moment, the calculation gives 1.519 Bohr magnetons per cell. The total energy is -37.37 eV per formula unit. As for the distance to the lowest polymorph of the same formula: 14.53 kJ/mol of atoms. Its energy relative to the elements, uncorrected is -748 meV per atom.

Geometry as CIF:
```
data_Y2ReS2
_cell_length_a 5.380
_cell_length_b 5.380
_cell_length_c 7.687
_cell_angle_alpha 90.00
_cell_angle_beta 90.00
_cell_angle_gamma 90.00
_symmetry_space_group_name_H-M 'I 4/m m m'
_symmetry_Int_Tables_number 139
_symmetry_space_group_name_Hall '-I 4 2'
loop_
_atom_site_label
_atom_site_fract_x
_atom_site_fract_y
_atom_site_fract_z
Y1 0.000 0.500 0.250
Re1 0.000 0.000 0.000
S1 0.000 0.000 0.303
```